A | Material: LiHgRh
Method: DFT, PBE
State: relaxed

**Fermi-level density of states**: 10.94 states/eV per cell
**Spin magnetization**: 1.960 μB/cell

a = 2.8807 Å, b = 16.6555 Å, c = 4.3803 Å
α = 90.00°, β = 90.00°, γ = 90.00°
Space group Cmcm (No. 63)
One atom of each set of equivalent atoms:
Li: 0.0000 0.1075 0.2500 x4
Hg: 0.0000 0.3019 0.2500 x4
Rh: 0.0000 0.4673 0.2500 x4

B | Material: LiHgRh
Method: DFT, PBE
State: relaxed

**Fermi-level density of states**: 3.73 states/eV per cell
**Spin magnetization**: 0.000 μB/cell

a = 3.2570 Å, b = 3.2704 Å, c = 8.9453 Å
α = 90.00°, β = 90.00°, γ = 90.00°
Space group Imm2 (No. 44)
One atom of each set of equivalent atoms:
Li: 0.0000 0.0000 0.0000 x2
Hg: 0.0000 0.0000 0.3253 x2
Rh: 0.0000 0.0000 0.6426 x2

Compare the structures above. Which one is the least stable? A is.